1.
# HgAsSeBr2

A geometry-optimized HgAsSeBr2 structure (PBE, Alexandria via LeMat-Bulk). Values from VASP.

- Energy relative to the elements, uncorrected: 340.4 meV per atom
- Magnetic moment: 0.31 μB/atom
- V: 159 Å³ per cell
- Energy above the most stable polymorph in this dataset: 26.2 kJ/mol of atoms

Quantum ESPRESSO input file:
```
&SYSTEM
  ibrav = 0, nat = 5, ntyp = 4
/
ATOMIC_SPECIES
Br 79.90 Br.upf
As 74.92 As.upf
Se 78.96 Se.upf
Hg 200.59 Hg.upf
ATOMIC_POSITIONS crystal
Br 0.0000 0.5000 0.0000
As 0.0000 0.0000 0.5000
Se 0.0000 0.0000 0.0000
Br 0.5000 0.0000 0.0000
Hg 0.5000 0.5000 0.5000
CELL_PARAMETERS angstrom
5.4397 0.0000 0.0000
0.0000 5.4397 0.0000
0.0000 0.0000 5.3665
```

2.
# LiAg6Ge

A geometry-optimized LiAg6Ge structure (PBE, Alexandria via LeMat-Bulk). Values from VASP.

- Magnetic moment: 0.00 μB/atom
- ΔE_f: -0.0120 eV per atom
- V: 140 Å³ per cell
- Energy above the most stable polymorph in this dataset: 0.0 kJ/mol of atoms

Quantum ESPRESSO input file:
```
&SYSTEM
  ibrav = 0, nat = 8, ntyp = 3
/
ATOMIC_SPECIES
Ag 107.87 Ag.upf
Ge 72.64 Ge.upf
Li 6.94 Li.upf
ATOMIC_POSITIONS crystal
Ag 0.5000 0.5000 0.0000
Ag 0.0000 0.2391 0.2391
Ag 0.0000 0.7609 0.7609
Ag 0.0000 0.7347 0.2653
Ge 0.5000 0.0000 0.0000
Li 0.5000 0.5000 0.5000
Ag 0.0000 0.2653 0.7347
Ag 0.5000 0.0000 0.5000
CELL_PARAMETERS angstrom
-3.2613 2.4902 -1.5228
-3.2045 -4.6038 -0.6654
-1.9773 0.6236 5.2544
```

3.
# NaH3Cl

A geometry-optimized NaH3Cl structure (PBE, Alexandria via LeMat-Bulk). Values from VASP.

- Magnetic moment: 0.60 μB/atom
- V: 77 Å³ per cell
- Energy above the most stable polymorph in this dataset: 21.9 kJ/mol of atoms

Quantum ESPRESSO input file:
```
&SYSTEM
  ibrav = 0, nat = 5, ntyp = 3
/
ATOMIC_SPECIES
H 1.01 H.upf
Cl 35.45 Cl.upf
Na 22.99 Na.upf
ATOMIC_POSITIONS crystal
H 0.0000 0.5000 0.0000
H 0.5000 0.0000 0.0000
Cl 0.5000 0.5000 0.5000
Na 0.0000 0.0000 0.0000
H 0.0000 0.0000 0.5000
CELL_PARAMETERS angstrom
4.2598 0.0000 0.0000
0.0000 4.2598 0.0000
0.0000 0.0000 4.2598
```

4.
# La2ZnIn2

A geometry-optimized La2ZnIn2 structure (PBE, Alexandria via LeMat-Bulk). Values from VASP.

- Magnetic moment: 0.00 μB/atom
- ΔE_f: -0.1782 eV per atom
- V: 320 Å³ per cell
- Energy above the most stable polymorph in this dataset: 28.2 kJ/mol of atoms

Quantum ESPRESSO input file:
```
&SYSTEM
  ibrav = 0, nat = 10, ntyp = 3
/
ATOMIC_SPECIES
La 138.91 La.upf
Zn 65.41 Zn.upf
In 114.82 In.upf
ATOMIC_POSITIONS crystal
La 0.1820 0.3180 0.0000
Zn 0.0000 0.0000 0.0000
La 0.3180 0.8180 0.0000
Zn 0.5000 0.5000 0.0000
In 0.6160 0.8840 0.5000
In 0.8840 0.3840 0.5000
In 0.1160 0.6160 0.5000
In 0.3840 0.1160 0.5000
La 0.8180 0.6820 0.0000
La 0.6820 0.1820 0.0000
CELL_PARAMETERS angstrom
9.1243 0.0000 0.0000
0.0000 9.1243 0.0000
0.0000 0.0000 3.8416
```

5.
# DySc3Ag4

A geometry-optimized DySc3Ag4 structure (PBE, Alexandria via LeMat-Bulk). Values from VASP.

- Magnetic moment: 0.00 μB/atom
- ΔE_f: -0.2803 eV per atom
- V: 169 Å³ per cell

Quantum ESPRESSO input file:
```
&SYSTEM
  ibrav = 0, nat = 8, ntyp = 3
/
ATOMIC_SPECIES
Ag 107.87 Ag.upf
Dy 162.50 Dy.upf
Sc 44.96 Sc.upf
ATOMIC_POSITIONS crystal
Ag 0.0000 0.0000 0.6211
Dy 0.5000 0.5000 0.0000
Sc 0.5000 0.5000 0.2579
Ag 0.0000 0.0000 0.8592
Ag 0.0000 0.0000 0.1408
Ag 0.0000 0.0000 0.3789
Sc 0.5000 0.5000 0.5000
Sc 0.5000 0.5000 0.7421
CELL_PARAMETERS angstrom
3.4818 0.0000 0.0000
0.0000 3.4818 0.0000
0.0000 0.0000 13.9494
```

6.
# K3Zr

A geometry-optimized K3Zr structure (PBE, Alexandria via LeMat-Bulk). Values from VASP.

- Magnetic moment: 0.00 μB/atom
- ΔE_f: 0.5602 eV per atom
- V: 913 Å³ per cell
- Energy above the most stable polymorph in this dataset: 0.0 kJ/mol of atoms

Quantum ESPRESSO input file:
```
&SYSTEM
  ibrav = 0, nat = 16, ntyp = 2
/
ATOMIC_SPECIES
K 39.10 K.upf
Zr 91.22 Zr.upf
ATOMIC_POSITIONS crystal
K 0.3712 0.7483 0.0303
Zr 0.2946 0.2486 0.2500
K 0.9443 0.2479 0.2500
K 0.0557 0.7521 0.7500
K 0.1288 0.2483 0.0303
K 0.3712 0.7483 0.4697
K 0.4443 0.2521 0.7500
K 0.1288 0.2483 0.4697
K 0.5557 0.7479 0.2500
Zr 0.7946 0.2514 0.7500
K 0.6288 0.2517 0.5303
Zr 0.2054 0.7486 0.2500
K 0.8712 0.7517 0.9697
K 0.6288 0.2517 0.9697
Zr 0.7054 0.7514 0.7500
K 0.8712 0.7517 0.5303
CELL_PARAMETERS angstrom
-13.1971 1.8475 -2.8930
0.5159 -2.4346 -3.9081
-3.2610 -12.1326 7.1275
```

7.
# Si2RuPb

A geometry-optimized Si2RuPb structure (PBE, Alexandria via LeMat-Bulk). Values from VASP.

- Energy relative to the elements, uncorrected: 628.2 meV per atom
- Magnetic moment: 0.00 μB/atom
- V: 70 Å³ per cell

Quantum ESPRESSO input file:
```
&SYSTEM
  ibrav = 0, nat = 4, ntyp = 3
/
ATOMIC_SPECIES
Ru 101.07 Ru.upf
Pb 207.20 Pb.upf
Si 28.09 Si.upf
ATOMIC_POSITIONS crystal
Ru 0.0000 0.5000 0.5000
Pb 0.5000 0.0000 0.5000
Si 0.5000 0.5000 0.0000
Si 0.0000 0.0000 0.0000
CELL_PARAMETERS angstrom
4.7312 0.0035 0.0000
-1.6579 4.4312 0.0000
0.0000 0.0000 3.3470
```

8.
# InGaSn2

A geometry-optimized InGaSn2 structure (PBE, Alexandria via LeMat-Bulk). Values from VASP.

- Magnetic moment: 0.00 μB/atom
- ΔE_f: 0.0629 eV per atom
- V: 104 Å³ per cell
- Energy above the most stable polymorph in this dataset: 2.7 kJ/mol of atoms

Quantum ESPRESSO input file:
```
&SYSTEM
  ibrav = 0, nat = 4, ntyp = 3
/
ATOMIC_SPECIES
Sn 118.71 Sn.upf
In 114.82 In.upf
Ga 69.72 Ga.upf
ATOMIC_POSITIONS crystal
Sn 0.9063 0.9063 0.2811
In 0.0000 0.0000 0.0000
Sn 0.0937 0.0937 0.7189
Ga 0.5000 0.5000 0.5000
CELL_PARAMETERS angstrom
3.2784 0.0000 0.0000
1.6392 2.8392 0.0000
1.6392 0.9464 11.2138
```

9.
# Ba3PtCl

A geometry-optimized Ba3PtCl structure (PBE, Alexandria via LeMat-Bulk). Values from VASP.

- Energy relative to the elements, uncorrected: -756.3 meV per atom
- Magnetic moment: 0.00 μB/atom
- V: 244 Å³ per cell
- Energy above the most stable polymorph in this dataset: 32.8 kJ/mol of atoms

Quantum ESPRESSO input file:
```
&SYSTEM
  ibrav = 0, nat = 5, ntyp = 3
/
ATOMIC_SPECIES
Ba 137.33 Ba.upf
Pt 195.08 Pt.upf
Cl 35.45 Cl.upf
ATOMIC_POSITIONS crystal
Ba 0.0000 0.0000 0.5000
Pt 0.0000 0.0000 0.0000
Ba 0.5000 0.0000 0.0000
Cl 0.5000 0.5000 0.5000
Ba 0.0000 0.5000 0.0000
CELL_PARAMETERS angstrom
6.2504 0.0000 0.0000
0.0000 6.2504 0.0000
0.0000 0.0000 6.2504
```

10.
# ScTe2RuO

A geometry-optimized ScTe2RuO structure (PBE, Alexandria via LeMat-Bulk). Values from VASP.

- Energy relative to the elements, uncorrected: 1099.2 meV per atom
- Magnetic moment: 0.35 μB/atom
- V: 139 Å³ per cell

Quantum ESPRESSO input file:
```
&SYSTEM
  ibrav = 0, nat = 5, ntyp = 4
/
ATOMIC_SPECIES
O 16.00 O.upf
Sc 44.96 Sc.upf
Te 127.60 Te.upf
Ru 101.07 Ru.upf
ATOMIC_POSITIONS crystal
O 0.5000 0.5000 0.5000
Sc 0.0000 0.0000 0.0000
Te 0.0000 0.0000 0.5000
Ru 0.0000 0.5000 0.0000
Te 0.5000 0.0000 0.0000
CELL_PARAMETERS angstrom
5.3965 0.0000 0.0000
0.0000 4.7785 0.0000
0.0000 0.0000 5.3965
```

11.
# HfNiHg3

A geometry-optimized HfNiHg3 structure (PBE, Alexandria via LeMat-Bulk). Values from VASP.

- Magnetic moment: 0.00 μB/atom
- ΔE_f: 0.5781 eV per atom
- V: 113 Å³ per cell
- Energy above the most stable polymorph in this dataset: 0.0 kJ/mol of atoms

Quantum ESPRESSO input file:
```
&SYSTEM
  ibrav = 0, nat = 5, ntyp = 3
/
ATOMIC_SPECIES
Hg 200.59 Hg.upf
Hf 178.49 Hf.upf
Ni 58.69 Ni.upf
ATOMIC_POSITIONS crystal
Hg 0.0000 0.0000 0.5000
Hf 0.5000 0.5000 0.5000
Hg 0.5000 0.0000 0.0000
Hg 0.0000 0.5000 0.0000
Ni 0.0000 0.0000 0.0000
CELL_PARAMETERS angstrom
-3.8750 0.1253 2.8912
-2.5165 -2.5317 -3.2631
1.4289 -4.1188 2.0937
```

12.
# Cs12NaCd6

A geometry-optimized Cs12NaCd6 structure (PBE, Alexandria via LeMat-Bulk). Values from VASP.

- Magnetic moment: 0.00 μB/atom
- ΔE_f: -0.0209 eV per atom
- V: 1328 Å³ per cell

Quantum ESPRESSO input file:
```
&SYSTEM
  ibrav = 0, nat = 19, ntyp = 3
/
ATOMIC_SPECIES
Cs 132.91 Cs.upf
Na 22.99 Na.upf
Cd 112.41 Cd.upf
ATOMIC_POSITIONS crystal
Cs 0.1860 0.3008 0.4868
Cs 0.5132 0.8140 0.6992
Cs 0.6992 0.5132 0.8140
Cs 0.8140 0.3008 0.1148
Na 0.0000 0.0000 0.0000
Cs 0.1148 0.8140 0.3008
Cs 0.8852 0.1860 0.6992
Cd 0.8933 0.3933 0.5000
Cs 0.6992 0.8852 0.1860
Cs 0.4868 0.1860 0.3008
Cd 0.5000 0.1067 0.6067
Cs 0.3008 0.4868 0.1860
Cs 0.3008 0.1148 0.8140
Cs 0.1860 0.6992 0.8852
Cd 0.3933 0.5000 0.8933
Cd 0.6067 0.5000 0.1067
Cd 0.5000 0.8933 0.3933
Cd 0.1067 0.6067 0.5000
Cs 0.8140 0.6992 0.5132
CELL_PARAMETERS angstrom
11.3067 0.0000 -3.9975
-5.6534 9.7919 -3.9975
0.0000 0.0000 11.9926
```